[1]
First-principles (PBE-GGA) data for a relaxed structure of LiCa2Al2, as listed in Alexandria via LeMat-Bulk.

## Properties
Energy above the lowest structure with this stoichiometry in meV per atom: 0.0

a b c (Å): 4.783 5.629 6.062
angles (deg): 117.66 113.23 90.00
Fractional positions:
Al 0.500 0.251 0.000
Ca 0.808 0.308 0.617
Al 0.500 0.749 0.000
Li 0.000 0.000 0.000
Ca 0.192 0.692 0.383


[2]
First-principles (PBE-GGA) data for a relaxed structure of LiCa2Al2, as listed in Alexandria via LeMat-Bulk.

## Properties
Energy above the lowest structure with this stoichiometry in meV per atom: 370.5

a b c (Å): 4.760 4.760 7.542
angles (deg): 71.60 71.60 90.00
Fractional positions:
Al 0.593 0.593 0.814
Al 0.407 0.407 0.186
Ca 0.750 0.250 0.500
Ca 0.250 0.750 0.500
Li 0.000 0.000 0.000


[3]
First-principles (PBE-GGA) data for a relaxed structure of LiCa8Al2, as listed in Alexandria via LeMat-Bulk.

a b c (Å): 5.355 9.215 9.135
angles (deg): 120.29 107.04 90.00
Fractional positions:
Ca 0.138 0.138 0.276
Ca 0.661 0.453 0.323
Al 0.800 0.300 0.599
Li 0.500 0.000 0.000
Ca 0.661 0.869 0.323
Al 0.200 0.700 0.401
Ca 0.339 0.547 0.677
Ca 0.339 0.131 0.677
Ca 0.000 0.676 0.000
Ca 0.000 0.324 0.000
Ca 0.862 0.862 0.724


[4]
First-principles (PBE-GGA) data for a relaxed structure of Li8Ca3Al, as listed in Alexandria via LeMat-Bulk.

## Properties
Energy above the lowest structure with this stoichiometry in meV per atom: 192.1

a b c (Å): 7.705 7.705 7.705
angles (deg): 99.25 114.81 114.81
Fractional positions:
Li 0.261 0.343 0.343
Ca 0.500 0.750 0.250
Li 0.435 0.160 0.160
Li 0.000 0.274 0.840
Ca 0.000 0.500 0.500
Li 0.000 0.840 0.274
Al 0.000 0.000 0.000
Li 0.739 0.081 0.081
Ca 0.500 0.250 0.750
Li 0.000 0.919 0.657
Li 0.000 0.657 0.919
Li 0.565 0.726 0.726


[5]
First-principles (PBE-GGA) data for a relaxed structure of LiCa6Al2, as listed in Alexandria via LeMat-Bulk.

a b c (Å): 10.363 9.281 9.281
angles (deg): 65.85 56.06 56.06
Fractional positions:
Ca 0.722 0.812 0.188
Ca 0.018 0.678 0.678
Al 0.000 0.357 0.643
Al 0.613 0.887 0.887
Li 0.500 0.500 0.500
Ca 0.982 0.322 0.322
Al 0.000 0.643 0.357
Ca 0.374 0.322 0.322
Ca 0.757 0.037 0.449
Li 0.000 0.000 0.000
Ca 0.278 0.812 0.188
Ca 0.757 0.449 0.037
Ca 0.626 0.678 0.678
Ca 0.278 0.188 0.812
Ca 0.243 0.551 0.963
Ca 0.722 0.188 0.812
Ca 0.243 0.963 0.551
Al 0.387 0.113 0.113


[6]
First-principles (PBE-GGA) data for a relaxed structure of LiCa2Al, as listed in Alexandria via LeMat-Bulk.

a b c (Å): 10.783 10.783 10.783
angles (deg): 19.49 19.49 19.49
Fractional positions:
Ca 0.007 0.007 0.007
Li 0.250 0.250 0.250
Al 0.750 0.750 0.750
Ca 0.493 0.493 0.493


[7]
First-principles (PBE-GGA) data for a relaxed structure of LiCa4Al, as listed in Alexandria via LeMat-Bulk.

## Properties
Energy above the lowest structure with this stoichiometry in meV per atom: 466.5

a b c (Å): 6.797 6.797 6.797
angles (deg): 60.00 60.00 60.00
Fractional positions:
Li 0.750 0.750 0.750
Ca 0.374 0.877 0.374
Ca 0.877 0.374 0.374
Ca 0.374 0.374 0.374
Ca 0.374 0.374 0.877
Al 0.000 0.000 0.000


[8]
First-principles (PBE-GGA) data for a relaxed structure of LiCaAl, as listed in Alexandria via LeMat-Bulk.

## Properties
Energy above the lowest structure with this stoichiometry in meV per atom: 307.3

a b c (Å): 3.542 3.542 7.218
angles (deg): 90.00 90.00 120.00
Fractional positions:
Li 0.667 0.333 0.708
Ca 0.333 0.667 0.313
Al 0.000 0.000 0.979


[9]
First-principles (PBE-GGA) data for a relaxed structure of Li6CaAl2, as listed in Alexandria via LeMat-Bulk.

a b c (Å): 4.799 7.408 7.408
angles (deg): 47.92 71.10 71.10
Fractional positions:
Li 0.295 0.946 0.465
Al 0.895 0.605 0.605
Li 0.295 0.465 0.946
Li 0.500 0.690 0.310
Li 0.705 0.054 0.535
Li 0.500 0.310 0.690
Li 0.705 0.535 0.054
Al 0.105 0.395 0.395
Ca 0.000 0.000 0.000


[10]
First-principles (PBE-GGA) data for a relaxed structure of LiCa2Al2, as listed in Alexandria via LeMat-Bulk.

## Properties
Energy above the lowest structure with this stoichiometry in meV per atom: 67.4

a b c (Å): 8.342 8.342 3.924
angles (deg): 90.00 90.00 90.00
Fractional positions:
Al 0.115 0.385 0.000
Ca 0.322 0.178 0.500
Al 0.615 0.115 0.000
Al 0.385 0.885 0.000
Ca 0.822 0.322 0.500
Li 0.000 0.000 0.000
Li 0.500 0.500 0.000
Ca 0.178 0.678 0.500
Al 0.885 0.615 0.000
Ca 0.678 0.822 0.500


[11]
First-principles (PBE-GGA) data for a relaxed structure of LiCa3Al2, as listed in Alexandria via LeMat-Bulk.

a b c (Å): 3.795 3.795 11.359
angles (deg): 90.00 90.00 90.00
Fractional positions:
Al 0.500 0.500 0.844
Ca 0.000 0.000 0.000
Li 0.500 0.500 0.500
Ca 0.000 0.000 0.687
Ca 0.000 0.000 0.313
Al 0.500 0.500 0.156


[12]
First-principles (PBE-GGA) data for a relaxed structure of Li3Ca4Al, as listed in Alexandria via LeMat-Bulk.

## Properties
Energy above the lowest structure with this stoichiometry in meV per atom: 0.0

a b c (Å): 5.463 5.463 9.544
angles (deg): 73.37 73.37 60.00
Fractional positions:
Al 0.000 0.000 0.000
Ca 0.371 0.371 0.886
Ca 0.629 0.629 0.114
Li 0.749 0.749 0.753
Ca 0.879 0.879 0.363
Li 0.500 0.500 0.500
Li 0.251 0.251 0.247
Ca 0.121 0.121 0.637


| no. | formation enthalpy at 0 K (meV per atom) | uncorrected energy (eV/atom) |
| --- | --- | --- |
| 1 | -170 | -2.8506 |
| 2 | 200 | -2.4801 |
| 3 | -42 | -2.3522 |
| 4 | 182 | -1.9064 |
| 5 | -92 | -2.4711 |
| 6 | 55 | -2.3600 |
| 7 | 410 | -1.8669 |
| 8 | 127 | -2.4258 |
| 9 | -43 | -2.3728 |
| 10 | -103 | -2.7832 |
| 11 | -136 | -2.7033 |
| 12 | -61 | -2.2470 |